# FeTcTe3

An optimized crystal structure of FeTcTe3 (PBE, the Alexandria database).

For the mass density, the calculation gives 6.25 Mg/m³. The formation energy from raw total energies comes out at 0.99 eV/atom. The calculation puts the calculated total energy at -4.661 eV per atom.

CIF file:
```
data_FeTcTe3
_chemical_formula_sum 'Fe1 Tc1 Te3'
_cell_length_a 5.224
_cell_length_b 5.224
_cell_length_c 5.224
_cell_angle_alpha 90.00
_cell_angle_beta 90.00
_cell_angle_gamma 90.00
_symmetry_space_group_name_H-M 'P m -3 m'
_symmetry_Int_Tables_number 221
_symmetry_space_group_name_Hall '-P 4 2 3'
loop_
_atom_site_label
_atom_site_type_symbol
_atom_site_fract_x
_atom_site_fract_y
_atom_site_fract_z
Fe1 Fe 0.000 0.000 0.000
Tc1 Tc 0.500 0.500 0.500
Te1 Te 0.000 0.500 0.500
```